# 1
Here is crystalline Na4GePd2Pb at its relaxed geometry from the Open Quantum Materials Database. Energies are from PBE-GGA.

Structure (POSCAR):
```
Na4GePd2Pb
1.0
4.8145 0.0000 0.0000
0.0000 4.8145 0.0000
0.0000 0.0000 7.0124
Pd Na Pb Ge
2 4 1 1
Direct
0.0000 0.5000 0.2262
0.5000 0.0000 0.7738
0.0000 0.0000 0.5000
0.0000 0.5000 0.7688
0.5000 0.0000 0.2312
0.5000 0.5000 0.0000
0.5000 0.5000 0.5000
0.0000 0.0000 0.0000
```

Summary:
Raw total energy (Ry per atom): -0.2310
SG: No. 115
Volume (Å³ per atom): 20.3

=====

# 2
Here is crystalline NaGePd at its relaxed geometry from the Open Quantum Materials Database. Energies are from PBE-GGA.

Structure (POSCAR):
```
NaGePd
1.0
-0.7949 1.6489 4.0043
-3.9085 -0.6602 1.9165
-0.3250 -2.6956 3.4660
Na Ge Pd
1 1 1
Direct
0.7500 0.7500 0.7500
0.2500 0.2500 0.2500
0.0000 0.0000 0.0000
```

Summary:
Raw total energy (Ry per atom): -0.2780
SG: No. 216
Volume (Å³ per atom): 20.1

=====

# 3
Here is crystalline Na2Ge2Pd at its relaxed geometry from the Open Quantum Materials Database. Energies are from PBE-GGA.

Structure (POSCAR):
```
Na2Ge2Pd
1.0
-0.9568 -6.4077 0.4511
4.6626 -0.3791 4.5048
-3.3602 0.7510 3.5411
Ge Na Pd
4 4 2
Direct
0.1341 0.3659 0.0000
0.8659 0.6341 0.0000
0.3659 0.8659 0.0000
0.6341 0.1341 0.0000
0.6789 0.8211 0.5000
0.3211 0.1789 0.5000
0.1789 0.6789 0.5000
0.8211 0.3211 0.5000
0.0000 0.0000 0.0000
0.5000 0.5000 0.0000
```

Summary:
Raw total energy (Ry per atom): -0.2700
SG: No. 127
Volume (Å³ per atom): 20.8

=====

# 4
Here is crystalline NaGe2Pd3 at its relaxed geometry from the Open Quantum Materials Database. Energies are from PBE-GGA.

Structure (POSCAR):
```
NaGe2Pd3
1.0
3.0201 -5.4691 -2.9470
0.7761 2.5794 6.3609
-5.9576 -3.2852 -1.1966
Pd Ge Na
6 4 2
Direct
0.5000 0.2982 0.7982
0.5000 0.7018 0.2018
0.0000 0.7018 0.7018
0.0000 0.5000 0.0000
0.0000 0.2982 0.2982
0.0000 0.0000 0.5000
0.8917 0.8127 0.0790
0.2336 0.8127 0.4210
0.1083 0.1873 0.9210
0.7664 0.1873 0.5790
0.4648 0.7148 0.7500
0.5352 0.2852 0.2500
```

Summary:
Raw total energy (Ry per atom): -0.3568
SG: No. 74
Volume (Å³ per atom): 18.2

=====

# 5
Here is crystalline NaGePd at its relaxed geometry from the Open Quantum Materials Database. Energies are from PBE-GGA.

Structure (POSCAR):
```
NaGePd
1.0
0.0000 3.1380 3.1380
3.1380 0.0000 3.1380
3.1380 3.1380 0.0000
Na Pd Ge
1 1 1
Direct
0.0000 0.0000 0.0000
0.7500 0.7500 0.7500
0.2500 0.2500 0.2500
```

Summary:
Raw total energy (Ry per atom): -0.2401
SG: No. 216
Volume (Å³ per atom): 20.6

=====

# 6
Here is crystalline NaGe4Pd6 at its relaxed geometry from the Open Quantum Materials Database. Energies are from PBE-GGA.

Structure (POSCAR):
```
NaGe4Pd6
1.0
7.4666 0.0000 0.0000
-3.7333 6.4663 0.0000
0.0000 0.0000 3.8075
Ge Pd Na
4 6 1
Direct
0.8124 0.6248 0.5000
0.8124 0.1876 0.5000
0.3333 0.6667 0.0000
0.3752 0.1876 0.5000
0.5359 0.0719 0.0000
0.9281 0.4641 0.0000
0.6009 0.8005 0.5000
0.1995 0.8005 0.5000
0.1995 0.3991 0.5000
0.5359 0.4641 0.0000
0.0000 0.0000 0.0000
```

Summary:
Raw total energy (Ry per atom): -0.3780
SG: No. 187
Volume (Å³ per atom): 16.7

=====

Q: raw total energy of number 4 (NaGe2Pd3)?
A: -0.3568 Ry per atom